Computed, not measured: a relaxed Dy2GaCoO6 crystal at the PBE+U level of DFT.

a b c (Å): 5.247 5.531 9.132
angles (deg): 90.00 124.61 90.00
Fractional coordinates of all 20 atoms:
Dy (0.231, 0.070, 0.250)
Dy (0.231, 0.430, 0.750)
Dy (0.769, 0.570, 0.250)
Dy (0.769, 0.930, 0.750)
Ga (0.500, 0.000, 0.000)
Ga (0.500, 0.500, 0.500)
Co (0.000, 0.000, 0.500)
Co (0.000, 0.500, 0.000)
O (0.138, 0.202, 0.947)
O (0.138, 0.298, 0.447)
O (0.249, 0.696, 0.947)
O (0.249, 0.804, 0.447)
O (0.351, 0.031, 0.747)
O (0.351, 0.469, 0.247)
O (0.649, 0.531, 0.753)
O (0.649, 0.969, 0.253)
O (0.751, 0.196, 0.553)
O (0.751, 0.304, 0.053)
O (0.862, 0.702, 0.553)
O (0.862, 0.798, 0.053)

Space group: P2_1/c, No. 14
Spin magnetization in μB/f.u.: 0.00
Volume in Å³/cell: 218.14
DOS(E_F) in states/eV/atom: 0.00
E in eV/atom: -7.1947